Density functional theory data (GGA-PBE) for a relaxed BeTe2MoI crystal.

Properties
SG   P4/mmm, No. 123
Raw formation energy   915 meV per atom
D(E_F)   2.93 states/eV per cell

Cell and atoms, written as extended XYZ:
```
5
Lattice="-3.8447 1.1677 3.0197 -2.6450 -3.8363 -1.8841 1.9030 -3.0886 3.6173" Properties=species:S:1:pos:R:3 pbc="T T T"
Te -1.3225 -1.9182 -0.9421
Te -1.9223 0.5838 1.5098
I 0.9515 -1.5443 1.8087
Mo -2.2933 -2.8786 2.3764
Be 0.0000 0.0000 0.0000
```



Density functional theory data (GGA-PBE) for a relaxed HfPd4Au crystal.

Properties
SG   C2/m, No. 12
Formation energy from the elements   -0.449 eV/atom
D(E_F)   4.28 states/eV per cell

Cell and atoms, written as extended XYZ:
```
12
Lattice="7.0546 1.5436 0.0000 2.0239 4.0630 0.0000 0.0000 0.0000 7.8122" Properties=species:S:1:pos:R:3 pbc="T T T"
Pd 3.7945 4.4467 3.2586
Pd 6.2960 3.1912 3.2586
Pd 5.2843 1.1599 7.1644
Pd 2.7826 2.4153 4.5536
Pd 2.7823 2.4151 7.1644
Pd 6.2963 3.1914 0.6477
Pd 3.7943 4.4466 0.6477
Pd 5.2840 1.1598 4.5536
Hf 1.5180 3.0472 1.9532
Hf 0.5060 1.0157 5.8590
Au 5.0453 3.8190 5.8593
Au 4.0333 1.7875 1.9528
```



Density functional theory data (GGA-PBE) for a relaxed TbGdFeNi crystal.

Properties
SG   F-43m, No. 216
Formation energy from the elements   -0.058 eV/atom
D(E_F)   4.02 states/eV per cell

Cell and atoms, written as extended XYZ:
```
4
Lattice="4.7866 0.0000 0.0000 2.3933 4.1453 0.0000 2.3933 1.3818 3.9082" Properties=species:S:1:pos:R:3 pbc="T T T"
Ni 2.3933 1.3818 0.9771
Fe 7.1799 4.1453 2.9312
Gd 4.7866 2.7635 1.9541
Tb 0.0000 0.0000 0.0000
```



Density functional theory data (GGA-PBE) for a relaxed CaGa2Cu9 crystal.

Properties
SG   R-3m, No. 166
Formation energy from the elements   -0.072 eV/atom
D(E_F)   4.23 states/eV per cell

Cell and atoms, written as extended XYZ:
```
12
Lattice="-2.8690 -3.3409 2.3449 1.7618 -2.4492 3.9736 -3.1602 3.8251 6.8910" Properties=species:S:1:pos:R:3 pbc="T T T"
Cu -1.2744 -1.3860 4.3825
Cu -1.5342 1.1197 7.6346
Cu -2.7332 -3.0847 5.5748
Cu -0.3786 -2.6313 6.4029
Cu -2.9930 -0.5790 8.8269
Cu -0.7428 -3.8504 4.2203
Cu -3.8888 0.6663 6.8065
Cu -3.5246 1.8854 8.9891
Cu -2.1337 -0.9825 6.6047
Ga -1.9732 1.3776 4.8561
Ga -2.2942 -3.3426 8.3533
Ca 0.0000 0.0000 0.0000
```



Density functional theory data (GGA-PBE) for a relaxed NaLi2AsF6 crystal.

Properties
SG   R3, No. 146
Raw formation energy   -2565 meV per atom
D(E_F)   0.00 states/eV per cell

Cell and atoms, written as extended XYZ:
```
10
Lattice="5.4533 0.0003 0.0003 2.7269 4.7225 0.0001 2.7269 1.5745 4.7386" Properties=species:S:1:pos:R:3 pbc="T T T"
Li 5.4535 3.1486 1.8068
Li 2.7270 1.5746 4.6829
Na 8.1803 4.7230 2.7696
F 4.3901 4.5565 1.0876
F 7.2048 3.3655 1.0879
F 6.0407 4.5199 3.6835
F 3.9729 2.9716 3.6836
F 6.3476 1.9549 3.6835
F 4.7655 1.5237 1.0876
As 2.7267 1.5742 0.1939
```



Density functional theory data (GGA-PBE) for a relaxed Tb2Nd5Y4 crystal.

Properties
SG   C2/m, No. 12
Formation energy from the elements   0.016 eV/atom
D(E_F)   16.04 states/eV per cell

Cell and atoms, written as extended XYZ:
```
11
Lattice="3.5731 0.0000 -0.5727 -0.2865 8.6748 -1.7876 0.0939 -0.5313 12.0177" Properties=species:S:1:pos:R:3 pbc="T T T"
Y 0.0644 3.1267 0.4018
Y 3.3160 5.0168 9.2555
Y 2.3381 3.7516 3.1546
Y 1.0423 4.3918 6.5028
Nd 2.8959 7.4993 6.6342
Nd 1.7865 0.0000 -0.2864
Nd 0.4846 0.6442 3.0232
Nd 2.7621 1.3138 5.8000
Nd 0.6183 6.8297 3.8573
Tb 1.9186 6.1805 0.5373
Tb 1.4619 1.9630 9.1200
```